(1)
Entry from Alexandria via LeMat-Bulk: a relaxed Tl2ZnRh crystal (PBE).

Formation energy in eV per atom: 0.066
Offset from the most stable computed form in meV/atom: 50

a = 4.2118 Å, b = 3.8134 Å, c = 5.5303 Å
α = 69.66°, β = 90.00°, γ = 90.00°
Closest atoms and distances in Å follow each position.
Positions (direct):
Rh 0.5000 0.5556 0.7644  2 Zn 2.55
Tl 0.5000 0.2783 0.3195  3 Rh 2.88-3.00, 4 Zn 2.97
Tl 0.0000 0.9721 0.9291  3 Zn 2.89-2.98, 4 Rh 2.97
Zn 0.0000 0.6941 0.4871  2 Rh 2.55

***

(2)
Entry from Alexandria via LeMat-Bulk: a relaxed RbWC2 crystal (PBE).

Formation energy in eV per atom: 0.611
Offset from the most stable computed form in meV/atom: 0

a = 6.3712 Å, b = 6.3712 Å, c = 6.3679 Å
α = 59.98°, β = 59.98°, γ = 90.00°
Closest atoms and distances in Å follow each position.
Positions (direct):
C 0.8750 0.1218 0.7500  2 W 1.95
C 0.3750 0.1282 0.7500  2 W 1.95
C 0.8782 0.6250 0.2500  2 W 1.95
C 0.8718 0.1250 0.2500  2 W 1.95
W 0.7500 0.2500 0.5000  4 C 1.95
W 0.0000 0.0000 0.0000  4 C 1.95
Rb 0.5000 0.5000 0.0000  12 C 3.72-3.75, 4 Rb 3.90, 4 W 3.90
Rb 0.2500 0.7500 0.5000  12 C 3.72-3.75, 4 W 3.90, 4 Rb 3.90

***

(3)
Entry from Alexandria via LeMat-Bulk: a relaxed Re3Pb crystal (PBE).

Formation energy in eV per atom: 4.526
Offset from the most stable computed form in meV/atom: 3897

a = 5.1178 Å, b = 5.1178 Å, c = 5.1178 Å
α = 90.00°, β = 90.00°, γ = 90.00°
Closest atoms and distances in Å follow each position.
Positions (direct):
Re 0.5000 0.0000 0.0000  2 Pb 2.56
Re 0.0000 0.5000 0.0000  2 Pb 2.56
Re 0.0000 0.0000 0.5000  2 Pb 2.56
Pb 0.0000 0.0000 0.0000  6 Re 2.56

***

(4)
Entry from Alexandria via LeMat-Bulk: a relaxed RbLaB2 crystal (PBE).

Formation energy in eV per atom: 1.436
Offset from the most stable computed form in meV/atom: 127

a = 5.1871 Å, b = 5.1871 Å, c = 9.5260 Å
α = 74.20°, β = 74.20°, γ = 90.00°
Closest atoms and distances in Å follow each position.
Positions (direct):
B 0.8750 0.1255 0.7500  2 La 2.55, 2 B 2.59
B 0.8745 0.6250 0.2500  2 La 2.55, 2 B 2.59
B 0.3750 0.1245 0.7500  2 La 2.55, 2 B 2.59
B 0.8755 0.1250 0.2500  2 La 2.55, 2 B 2.59
La 0.0000 0.0000 0.0000  4 B 2.55
La 0.7500 0.2500 0.5000  4 B 2.55
Rb 0.2500 0.7500 0.5000  8 B 3.64, 4 La 3.67
Rb 0.5000 0.5000 0.0000  8 B 3.64, 4 La 3.67

***

(5)
Entry from Alexandria via LeMat-Bulk: a relaxed LuThBeGa crystal (PBE).

Formation energy in eV per atom: -0.170

a = 4.9828 Å, b = 4.9828 Å, c = 4.9828 Å
α = 60.00°, β = 60.00°, γ = 60.00°
Closest atoms and distances in Å follow each position.
Positions (direct):
Ga 0.0000 0.0000 0.0000  4 Th 3.05, 4 Lu 3.05
Lu 0.2500 0.2500 0.2500  4 Ga 3.05, 4 Be 3.05
Th 0.7500 0.7500 0.7500  4 Ga 3.05, 4 Be 3.05
Be 0.5000 0.5000 0.5000  4 Lu 3.05, 4 Th 3.05

***

(6)
Entry from Alexandria via LeMat-Bulk: a relaxed DyMnFe2 crystal (PBE).

Formation energy in eV per atom: 0.577
Offset from the most stable computed form in meV/atom: 455

a = 8.4187 Å, b = 8.4287 Å, c = 6.1435 Å
α = 90.00°, β = 90.00°, γ = 137.21°
Closest atoms and distances in Å follow each position.
Positions (direct):
Dy 0.5000 0.2500 0.8744  4 Mn 3.07, 8 Fe 3.09-3.15
Dy 0.5000 0.7500 0.1256  4 Mn 3.07, 8 Fe 3.09-3.15
Dy 0.0000 0.7500 0.3749  4 Mn 3.07-3.08, 8 Fe 3.10-3.15
Dy 0.0000 0.2500 0.6251  4 Mn 3.07-3.08, 8 Fe 3.10-3.15
Mn 0.5000 0.2500 0.3746  4 Fe 2.22-2.24
Mn 0.0000 0.7500 0.8741  4 Fe 2.24-2.26
Mn 0.0000 0.2500 0.1259  4 Fe 2.24-2.26
Mn 0.5000 0.7500 0.6254  4 Fe 2.22-2.24
Fe 0.7489 0.7534 0.7523  2 Fe 2.16-2.19, 2 Mn 2.22-2.26
Fe 0.2511 0.2466 0.2477  2 Fe 2.16-2.19, 2 Mn 2.22-2.26
Fe 0.0000 0.5000 0.0000  2 Fe 2.16, 2 Mn 2.24
Fe 0.2511 0.7466 0.7523  2 Fe 2.16-2.19, 2 Mn 2.22-2.26
Fe 0.5000 0.0000 0.5000  2 Fe 2.19, 2 Mn 2.24
Fe 0.7489 0.2534 0.2477  2 Fe 2.16-2.19, 2 Mn 2.22-2.26
Fe 0.5000 0.5000 0.5000  2 Fe 2.19, 2 Mn 2.24
Fe 0.0000 0.0000 0.0000  2 Fe 2.16, 2 Mn 2.24

***

(7)
Entry from Alexandria via LeMat-Bulk: a relaxed Nd8Mg2Ir crystal (PBE).

Formation energy in eV per atom: -0.118

a = 5.6180 Å, b = 7.2190 Å, c = 9.4454 Å
α = 109.29°, β = 107.30°, γ = 90.00°
Closest atoms and distances in Å follow each position.
Positions (direct):
Nd 0.1974 0.2601 0.3947  3 Mg 3.23-3.50, 3 Nd 3.52-3.58
Nd 0.9860 0.2175 0.9720  2 Ir 3.27, 1 Mg 3.31, 5 Nd 3.35-3.62
Nd 0.8026 0.7399 0.6053  3 Mg 3.23-3.50, 3 Nd 3.52-3.58
Nd 0.3521 0.0684 0.7042  1 Ir 2.88
Nd 0.6479 0.9316 0.2958  1 Ir 2.88
Nd 0.5982 0.4074 0.1964  1 Ir 2.86
Nd 0.4018 0.5926 0.8036  1 Ir 2.86
Nd 0.0140 0.7825 0.0280  2 Ir 3.27, 1 Mg 3.31, 5 Nd 3.35-3.62
Mg 0.1820 0.6932 0.3641  9 Nd 3.23-3.50
Mg 0.8180 0.3068 0.6359  9 Nd 3.23-3.50
Ir 0.5000 0.0000 0.0000  4 Nd 2.86-2.88

***

(8)
Entry from Alexandria via LeMat-Bulk: a relaxed TbHo2TmSc5 crystal (PBE).

Formation energy in eV per atom: 0.165

a = 5.3129 Å, b = 9.5916 Å, c = 10.3348 Å
α = 90.00°, β = 90.00°, γ = 106.08°
Closest atoms and distances in Å follow each position.
Positions (direct):
Ho 0.1061 0.2121 0.7347  6 Sc 3.14-3.46, 1 Tb 3.40
Ho 0.8939 0.7879 0.2347  6 Sc 3.14-3.46, 1 Tb 3.40
Ho 0.8870 0.7739 0.8238  9 Sc 3.23-3.44
Ho 0.1130 0.2261 0.3238  9 Sc 3.23-3.44
Tb 0.2088 0.4176 0.0079  8 Sc 3.31-3.53, 1 Ho 3.40, 2 Tm 3.56
Tb 0.7912 0.5824 0.5079  8 Sc 3.31-3.53, 1 Ho 3.40, 2 Tm 3.56
Sc 0.4779 0.9559 0.7351  2 Tm 3.03-3.05, 5 Sc 3.13-3.37, 2 Ho 3.27
Sc 0.7016 0.4031 0.2084  3 Sc 3.22-3.32, 3 Ho 3.34-3.56, 1 Tm 3.37, 3 Tb 3.37-3.51
Sc 0.2984 0.5969 0.7084  3 Sc 3.22-3.32, 3 Ho 3.34-3.56, 1 Tm 3.37, 3 Tb 3.37-3.51
Sc 0.2875 0.5749 0.2957  1 Tm 2.94, 2 Sc 3.22, 1 Ho 3.23
Sc 0.7125 0.4251 0.7957  1 Tm 2.94, 2 Sc 3.22, 1 Ho 3.23
Sc 0.0215 0.0431 0.0340  2 Tm 2.98, 2 Ho 3.14-3.30
Sc 0.9785 0.9569 0.5340  2 Tm 2.98, 2 Ho 3.14-3.30
Sc 0.4001 0.8002 0.0237  5 Sc 3.13-3.49, 4 Ho 3.37-3.44, 1 Tm 3.43
Sc 0.5999 0.1998 0.5237  5 Sc 3.13-3.49, 4 Ho 3.37-3.44, 1 Tm 3.43
Sc 0.5221 0.0441 0.2351  2 Tm 3.03-3.05, 5 Sc 3.13-3.37, 2 Ho 3.27
Tm 0.4172 0.8344 0.4607  5 Sc 2.94-3.05
Tm 0.5828 0.1656 0.9607  5 Sc 2.94-3.05

***

(9)
Entry from Alexandria via LeMat-Bulk: a relaxed SrBr3O crystal (PBE).

Offset from the most stable computed form in meV/atom: 327

a = 6.0293 Å, b = 6.0293 Å, c = 6.0293 Å
α = 90.00°, β = 90.00°, γ = 90.00°
Closest atoms and distances in Å follow each position.
Positions (direct):
Br 0.0000 0.5000 0.0000  2 Sr 3.01
Br 0.0000 0.0000 0.5000  2 Sr 3.01
Br 0.5000 0.0000 0.0000  2 Sr 3.01
Sr 0.0000 0.0000 0.0000  6 Br 3.01
O 0.5000 0.5000 0.5000  12 Br 4.26

***

(10)
Entry from Alexandria via LeMat-Bulk: a relaxed ReIrW2 crystal (PBE).

Formation energy in eV per atom: 0.185

a = 3.2849 Å, b = 3.2849 Å, c = 5.8475 Å
α = 90.00°, β = 90.00°, γ = 90.00°
Closest atoms and distances in Å follow each position.
Positions (direct):
Ir 0.0000 0.0000 0.4791  5 W 2.63-2.87, 4 Re 2.86
Re 0.5000 0.5000 0.7643  6 W 2.67-2.95, 4 Ir 2.86
W 0.5000 0.5000 0.2682  4 Ir 2.63, 4 W 2.84, 1 Re 2.90
W 0.0000 0.0000 0.9883  4 Re 2.67, 4 W 2.84, 2 Ir 2.87-2.98

***

(11)
Entry from Alexandria via LeMat-Bulk: a relaxed Zr7Co crystal (PBE).

Formation energy in eV per atom: 0.151

a = 6.2538 Å, b = 6.2538 Å, c = 6.2538 Å
α = 60.00°, β = 60.00°, γ = 60.00°
Closest atoms and distances in Å follow each position.
Positions (direct):
Zr 0.0000 0.0000 0.5000  10 Zr 3.13, 2 Co 3.13
Zr 0.5000 0.5000 0.5000  12 Zr 3.13
Zr 0.5000 0.0000 0.5000  10 Zr 3.13, 2 Co 3.13
Zr 0.5000 0.5000 0.0000  10 Zr 3.13, 2 Co 3.13
Zr 0.0000 0.5000 0.0000  10 Zr 3.13, 2 Co 3.13
Zr 0.5000 0.0000 0.0000  10 Zr 3.13, 2 Co 3.13
Zr 0.0000 0.5000 0.5000  10 Zr 3.13, 2 Co 3.13
Co 0.0000 0.0000 0.0000  12 Zr 3.13

***

(12)
Entry from Alexandria via LeMat-Bulk: a relaxed NaBe2InOs crystal (PBE).

Formation energy in eV per atom: 0.397

a = 4.3935 Å, b = 5.1976 Å, c = 4.3935 Å
α = 90.00°, β = 90.00°, γ = 90.00°
Closest atoms and distances in Å follow each position.
Positions (direct):
Na 0.5000 0.5000 0.5000  4 In 3.11, 8 Be 3.40
Os 0.0000 0.0000 0.0000  4 Be 2.20
In 0.0000 0.5000 0.0000  2 Os 2.60
Be 0.0000 0.0000 0.5000  2 Os 2.20
Be 0.5000 0.0000 0.0000  2 Os 2.20

***

For each record above, in turn, the calculated total magnetization values are 0.00, 0.00, 5.58, 0.00, 0.00, 15.45, 0.00, 0.00, 3.00, 0.00, 1.33, 0.00 μB/cell.
For each record above, in turn, the calculated mass density values are 11.5, 5.3, 9.5, 3.5, 9.2, 7.4, 6.7, 5.8, 2.6, 19.6, 6.7, 5.7 g/cm³.